The following is a DFT calculation (PBE-GGA) of a geometry-optimized ScSn2RhPb structure.

## Properties
The crystal system is tetragonal. Its raw total energy is -23.61 eV for the cell shown. Its formation energy is 1.8 eV per formula unit. The density comes out at 6.9 g/cm³.

a = 5.5125 Å, b = 5.5125 Å, c = 4.6990 Å
α = 90.00°, β = 90.00°, γ = 90.00°
Closest atoms and distances in Å follow each position.
Space group P4/mmm (No. 123)
One atom of each set of equivalent atoms:
Sc (0.0000, 0.0000, 0.0000)  2 Rh 2.35
Sn (0.0000, 0.5000, 0.0000)  2 Sc 2.76
Rh (0.0000, 0.0000, 0.5000)  2 Sc 2.35
Pb (0.5000, 0.5000, 0.5000)  8 Sn 3.62, 4 Rh 3.90